The following is a DFT calculation (GGA-PBE) of a geometry-optimized YZrIr structure.

Output
As for the formation enthalpy at 0 K: -0.666 eV per atom. The calculation puts the total energy at -8.6235 eV per atom. For the energy relative to the lowest polymorph listed for this composition, the calculation gives 0.023 eV/atom.

a = 4.598 Å, b = 4.598 Å, c = 6.727 Å
α = 90.00°, β = 90.00°, γ = 90.00°
Space group P4/nmm (No. 129, origin choice 2)
Asymmetric unit:
Y1 0.250 0.250 0.131
Zr1 0.250 0.750 0.500
Ir1 0.250 0.250 0.712


The following is a DFT calculation (GGA-PBE) of a geometry-optimized Ti8Ga2Re structure.

Output
As for the formation enthalpy at 0 K: -0.246 eV per atom. The calculation puts the total energy at -7.6698 eV per atom.

a = 4.550 Å, b = 6.167 Å, c = 13.117 Å
α = 90.00°, β = 90.00°, γ = 90.00°
Space group Immm (No. 71)
Asymmetric unit:
Ti1 0.000 0.000 0.173
Ti2 0.000 0.227 0.360
Ti3 0.000 0.264 0.000
Ga1 0.000 0.500 0.188
Re1 0.000 0.500 0.500


The following is a DFT calculation (GGA-PBE) of a geometry-optimized LaCeDyTc structure.

Output
As for the formation enthalpy at 0 K: 0.069 eV per atom. The calculation puts the total energy at -6.3886 eV per atom.

a = 7.685 Å, b = 4.449 Å, c = 7.283 Å
α = 90.00°, β = 110.60°, γ = 90.00°
Space group Cm (No. 8)
Asymmetric unit:
La1 0.000 0.000 0.000
Ce1 0.056 0.500 0.670
Dy1 0.288 0.500 0.365
Tc1 0.207 0.000 0.622